The following is a DFT calculation (PBE-GGA) of Mn3AgB after structural relaxation.

## Properties
crystal system: cubic
spin magnetization: 8.9 μB/f.u.
ΔE to the lowest computed polymorph: 0 meV/atom
formation energy: 4.53 kcal/mol of atoms
E_tot: -7.211 eV/atom
space-group type: Pm-3m (221)

```
Mn3AgB
1.0
4.045 0.000 0.000
0.000 4.045 0.000
0.000 0.000 4.045
Ag Mn B
1 3 1
Cartesian
2.022 2.022 2.022 Ag
0.000 0.000 2.022 Mn
0.000 2.022 0.000 Mn
2.022 0.000 0.000 Mn
0.000 0.000 0.000 B
```